#P
This record from Alexandria via LeMat-Bulk describes crystalline TlFeW2 at its relaxed geometry. The functional is GGA-PBE.

Cell and atoms, written as POSCAR:
```
TlFeW2
1.0
4.213 0.000 0.000
0.000 2.829 0.016
0.000 1.950 5.798
Fe W Tl
1 2 1
direct
0.000 0.487 0.464
0.500 0.239 0.254
0.000 0.047 0.040
0.500 0.727 0.742
```

---

#Q
This record from Alexandria via LeMat-Bulk describes crystalline TlFeW2 at its relaxed geometry. The functional is GGA-PBE.

Cell and atoms, written as POSCAR:
```
TlFeW2
1.0
5.119 -0.197 0.528
4.130 3.030 0.528
1.587 0.486 4.249
Fe W Tl
1 2 1
direct
0.490 0.490 0.509
0.016 0.016 0.983
0.754 0.754 0.747
0.240 0.240 0.261
```

---

The winner here is #P, beating the second structure by 0.055 eV/atom.

---

#P
This record from Alexandria via LeMat-Bulk describes crystalline Tl3FeW at its relaxed geometry. The functional is GGA-PBE.

Cell and atoms, written as POSCAR:
```
Tl3FeW
1.0
4.968 0.000 0.000
0.000 4.968 0.000
0.000 0.000 4.968
Tl Fe W
3 1 1
direct
0.000 0.500 0.000
0.000 0.000 0.500
0.500 0.000 0.000
0.000 0.000 0.000
0.500 0.500 0.500
```

---

#Q
This record from Alexandria via LeMat-Bulk describes crystalline Tl3FeW at its relaxed geometry. The functional is GGA-PBE.

Cell and atoms, written as POSCAR:
```
Tl3FeW
1.0
-2.767 4.223 -1.891
-4.205 -3.214 -1.024
-1.929 0.949 4.944
Tl W Fe
3 1 1
direct
0.000 0.000 0.500
0.500 0.000 0.000
0.000 0.500 0.000
0.000 0.000 0.000
0.500 0.500 0.500
```

---

The winner here is #Q, beating the second structure by 0.263 eV/atom.

---

#P
This record from Alexandria via LeMat-Bulk describes crystalline TlFe3W at its relaxed geometry. The functional is GGA-PBE.

Cell and atoms, written as POSCAR:
```
TlFe3W
1.0
4.582 0.000 0.000
0.000 4.582 0.000
0.000 0.000 4.582
Fe W Tl
3 1 1
direct
0.000 0.000 0.500
0.500 0.000 0.000
0.000 0.500 0.000
0.000 0.000 0.000
0.500 0.500 0.500
```

---

#Q
This record from Alexandria via LeMat-Bulk describes crystalline TlFe3W at its relaxed geometry. The functional is GGA-PBE.

Cell and atoms, written as POSCAR:
```
TlFe3W
1.0
-0.413 3.926 -2.605
-3.478 1.510 2.827
3.178 2.163 2.755
W Fe Tl
1 3 1
direct
0.500 0.500 0.500
0.000 0.000 0.500
0.500 0.000 0.000
0.000 0.500 0.000
0.000 0.000 0.000
```

---

The winner here is #P, beating the second structure by 0.885 eV/atom.

---

#P
This record from Alexandria via LeMat-Bulk describes crystalline Tl2FeW2 at its relaxed geometry. The functional is GGA-PBE.

Cell and atoms, written as POSCAR:
```
Tl2FeW2
1.0
8.049 0.000 0.000
0.000 8.049 0.000
0.000 0.000 3.058
W Tl Fe
4 4 2
direct
0.108 0.608 0.500
0.392 0.108 0.500
0.608 0.892 0.500
0.892 0.392 0.500
0.687 0.187 0.000
0.813 0.687 0.000
0.187 0.313 0.000
0.313 0.813 0.000
0.000 0.000 0.000
0.500 0.500 0.000
```

---

#Q
This record from Alexandria via LeMat-Bulk describes crystalline Tl2FeW2 at its relaxed geometry. The functional is GGA-PBE.

Cell and atoms, written as POSCAR:
```
Tl2FeW2
1.0
3.671 0.000 0.000
0.000 3.671 0.000
1.836 1.836 7.666
Tl W Fe
2 2 1
direct
0.404 0.404 0.193
0.596 0.596 0.807
0.250 0.750 0.500
0.750 0.250 0.500
0.000 0.000 0.000
```

---

The winner here is #Q, beating the second structure by 0.328 eV/atom.

---

#P
This record from Alexandria via LeMat-Bulk describes crystalline Y3TlFe at its relaxed geometry. The functional is GGA-PBE.

Cell and atoms, written as POSCAR:
```
Y3TlFe
1.0
-1.109 -3.248 3.863
5.046 -0.650 0.902
-0.082 3.966 3.312
Y Tl Fe
3 1 1
direct
0.000 0.500 0.000
0.000 0.000 0.500
0.500 0.000 0.000
0.500 0.500 0.500
0.000 0.000 0.000
```

---

#Q
This record from Alexandria via LeMat-Bulk describes crystalline Y3TlFe at its relaxed geometry. The functional is GGA-PBE.

Cell and atoms, written as POSCAR:
```
Y3TlFe
1.0
-0.466 0.439 -3.797
2.563 -8.106 -1.251
-8.583 1.000 1.168
Y Fe Tl
6 2 2
direct
0.250 0.960 0.779
0.250 0.674 0.103
0.750 0.672 0.430
0.750 0.040 0.221
0.250 0.328 0.570
0.750 0.326 0.897
0.750 0.052 0.565
0.250 0.948 0.435
0.250 0.336 0.199
0.750 0.664 0.801
```

---

The winner here is #Q, beating the second structure by 0.174 eV/atom.

---

#P
This record from Alexandria via LeMat-Bulk describes crystalline YTl2Fe at its relaxed geometry. The functional is GGA-PBE.

Cell and atoms, written as POSCAR:
```
YTl2Fe
1.0
5.086 -0.002 0.009
3.527 3.665 0.009
1.916 0.815 5.025
Y Fe Tl
1 1 2
direct
0.750 0.750 0.750
0.250 0.250 0.250
0.975 0.975 0.048
0.525 0.525 0.452
```

---

#Q
This record from Alexandria via LeMat-Bulk describes crystalline YTl2Fe at its relaxed geometry. The functional is GGA-PBE.

Cell and atoms, written as POSCAR:
```
YTl2Fe
1.0
-2.302 3.002 -2.454
1.210 -2.157 -3.771
-3.713 -2.603 0.296
Tl Y Fe
2 1 1
direct
0.000 0.000 0.000
0.500 0.500 0.000
0.500 0.000 0.500
0.000 0.500 0.500
```

---

#R
This record from Alexandria via LeMat-Bulk describes crystalline YTl2Fe at its relaxed geometry. The functional is GGA-PBE.

Cell and atoms, written as POSCAR:
```
YTl2Fe
1.0
4.715 1.330 0.665
1.425 1.987 4.296
2.884 -2.577 3.079
Tl Fe Y
2 1 1
direct
0.250 0.250 0.250
0.750 0.750 0.750
0.000 0.000 0.000
0.500 0.500 0.500
```

---

#S
This record from Alexandria via LeMat-Bulk describes crystalline YTl2Fe at its relaxed geometry. The functional is GGA-PBE.

Cell and atoms, written as POSCAR:
```
YTl2Fe
1.0
-2.078 3.689 -0.742
0.498 -0.571 -4.231
-9.954 -3.678 -2.858
Fe Tl Y
2 4 2
direct
0.250 0.750 0.500
0.500 0.500 0.000
0.603 0.125 0.250
0.875 0.853 0.750
0.147 0.625 0.250
0.375 0.397 0.750
0.000 0.000 0.000
0.750 0.250 0.500
```

---

The winner here is #Q, beating the second structure by 0.007 eV/atom.

---

#P
This record from Alexandria via LeMat-Bulk describes crystalline YTlFe3 at its relaxed geometry. The functional is GGA-PBE.

Cell and atoms, written as POSCAR:
```
YTlFe3
1.0
-0.981 -4.604 -1.318
4.701 -1.182 0.631
-0.913 -1.141 4.665
Tl Fe Y
1 3 1
direct
0.000 0.000 0.000
0.000 0.500 0.000
0.000 0.000 0.500
0.500 0.000 0.000
0.500 0.500 0.500
```

---

#Q
This record from Alexandria via LeMat-Bulk describes crystalline YTlFe3 at its relaxed geometry. The functional is GGA-PBE.

Cell and atoms, written as POSCAR:
```
YTlFe3
1.0
-4.116 2.196 -1.238
0.084 -2.250 -4.269
-2.520 -3.662 1.881
Tl Y Fe
1 1 3
direct
0.500 0.500 0.500
0.000 0.000 0.000
0.000 0.500 0.000
0.500 0.000 0.000
0.000 0.000 0.500
```

---

The winner here is #P, beating the second structure by 0.451 eV/atom.

---

#P
This record from Alexandria via LeMat-Bulk describes crystalline Tl2ZnFe at its relaxed geometry. The functional is GGA-PBE.

Cell and atoms, written as POSCAR:
```
Tl2ZnFe
1.0
-3.780 -2.945 7.916
-6.198 -3.640 5.827
-3.726 -5.744 6.225
Tl Fe Zn
2 1 1
direct
0.003 0.003 0.003
0.497 0.497 0.497
0.750 0.750 0.750
0.250 0.250 0.250
```

---

#Q
This record from Alexandria via LeMat-Bulk describes crystalline Tl2ZnFe at its relaxed geometry. The functional is GGA-PBE.

Cell and atoms, written as POSCAR:
```
Tl2ZnFe
1.0
4.768 -0.004 0.005
3.691 3.019 0.005
1.132 0.404 5.886
Zn Tl Fe
1 2 1
direct
0.750 0.750 0.750
0.996 0.996 0.010
0.504 0.504 0.490
0.250 0.250 0.250
```

---

The winner here is #P, beating the second structure by 0.048 eV/atom.

---

#P
This record from Alexandria via LeMat-Bulk describes crystalline Tl2ZnFe at its relaxed geometry. The functional is GGA-PBE.

Cell and atoms, written as POSCAR:
```
Tl2ZnFe
1.0
5.175 0.000 0.000
0.000 5.191 0.000
0.000 0.000 3.089
Fe Zn Tl
1 1 2
direct
0.000 0.500 0.500
0.500 0.000 0.500
0.000 0.000 0.000
0.500 0.500 0.000
```

---

#Q
This record from Alexandria via LeMat-Bulk describes crystalline Tl2ZnFe at its relaxed geometry. The functional is GGA-PBE.

Cell and atoms, written as POSCAR:
```
Tl2ZnFe
1.0
4.054 0.000 0.000
0.000 3.839 0.014
0.000 1.930 5.363
Tl Fe Zn
2 1 1
direct
0.500 0.279 0.314
0.000 0.981 0.915
0.500 0.549 0.780
0.000 0.691 0.492
```

---

#R
This record from Alexandria via LeMat-Bulk describes crystalline Tl2ZnFe at its relaxed geometry. The functional is GGA-PBE.

Cell and atoms, written as POSCAR:
```
Tl2ZnFe
1.0
-5.584 3.170 7.674
-7.700 -5.436 -3.358
-5.898 -2.998 3.470
Fe Tl Zn
2 4 2
direct
0.500 0.500 0.000
0.250 0.750 0.500
0.375 0.125 0.250
0.375 0.625 0.750
0.875 0.625 0.750
0.375 0.625 0.250
0.750 0.250 0.500
0.000 0.000 0.000
```

---

#S
This record from Alexandria via LeMat-Bulk describes crystalline Tl2ZnFe at its relaxed geometry. The functional is GGA-PBE.

Cell and atoms, written as POSCAR:
```
Tl2ZnFe
1.0
-0.441 4.920 -0.708
-1.250 2.968 3.813
3.377 3.114 1.949
Fe Zn Tl
1 1 2
direct
0.500 0.500 0.500
0.750 0.750 0.750
0.250 0.250 0.250
0.000 0.000 0.000
```

---

The winner here is #Q, beating the second structure by 0.087 eV/atom.

---

#P
This record from Alexandria via LeMat-Bulk describes crystalline Tl2ZnFe at its relaxed geometry. The functional is GGA-PBE.

Cell and atoms, written as POSCAR:
```
Tl2ZnFe
1.0
6.651 0.144 -0.013
4.181 5.175 0.013
-4.900 -3.711 2.546
Zn Fe Tl
1 1 2
direct
0.565 0.565 0.000
0.737 0.237 0.500
0.953 0.953 0.000
0.246 0.746 0.500
```

---

#Q
This record from Alexandria via LeMat-Bulk describes crystalline Tl2ZnFe at its relaxed geometry. The functional is GGA-PBE.

Cell and atoms, written as POSCAR:
```
Tl2ZnFe
1.0
-3.242 -1.917 -1.151
1.396 -2.867 0.841
-1.120 -2.109 6.667
Zn Tl Fe
1 2 1
direct
0.500 0.250 0.250
0.000 0.505 0.508
0.000 0.995 0.992
0.500 0.750 0.750
```

---

The winner here is #P, beating the second structure by 0.121 eV/atom.

---

#P
This record from Alexandria via LeMat-Bulk describes crystalline TlZnFe at its relaxed geometry. The functional is GGA-PBE.

Cell and atoms, written as POSCAR:
```
TlZnFe
1.0
4.377 0.000 0.000
2.189 3.791 0.000
2.189 1.264 3.574
Fe Zn Tl
1 1 1
direct
0.250 0.250 0.250
0.500 0.500 0.500
0.000 0.000 0.000
```

---

#Q
This record from Alexandria via LeMat-Bulk describes crystalline TlZnFe at its relaxed geometry. The functional is GGA-PBE.

Cell and atoms, written as POSCAR:
```
TlZnFe
1.0
6.346 1.071 -0.531
4.978 4.992 -0.268
-5.744 -3.271 2.464
Tl Zn Fe
1 1 1
direct
0.207 0.347 0.861
0.766 0.639 0.127
0.027 0.014 0.013
```

---

The winner here is #Q, beating the second structure by 0.120 eV/atom.

---

#P
This record from Alexandria via LeMat-Bulk describes crystalline TmUFe4 at its relaxed geometry. The functional is GGA-PBE.

Cell and atoms, written as POSCAR:
```
TmUFe4
1.0
-0.007 -0.530 -5.019
4.363 -0.072 -2.536
1.635 -4.295 -2.086
U Tm Fe
1 1 4
direct
0.250 0.250 0.250
0.000 0.000 0.000
0.625 0.625 0.625
0.625 0.625 0.125
0.625 0.125 0.625
0.125 0.625 0.625
```

---

#Q
This record from Alexandria via LeMat-Bulk describes crystalline TmUFe4 at its relaxed geometry. The functional is GGA-PBE.

Cell and atoms, written as POSCAR:
```
TmUFe4
1.0
-1.808 1.035 4.410
-3.897 -4.576 -0.523
7.034 -2.123 0.961
Fe Tm U
8 2 2
direct
0.451 0.706 0.796
0.293 0.671 0.342
0.549 0.910 0.204
0.451 0.090 0.796
0.000 0.197 0.000
0.707 0.329 0.658
0.549 0.294 0.204
0.000 0.803 0.000
0.140 0.199 0.397
0.860 0.801 0.603
0.210 0.426 0.852
0.790 0.574 0.148
```

---

The winner here is #P, beating the second structure by 0.160 eV/atom.